BaPuZnS4: optimized geometry, PBE.

Values from the calculation:
Total energy in eV/atom: -6.21
E_form (uncorrected) in meV/atom: -1348
Crystal system: monoclinic

a = 6.5080 Å, b = 6.4664 Å, c = 8.5810 Å
α = 90.00°, β = 108.25°, γ = 90.00°
With the nearest neighbours (Å) after each atom.
Space group P2_1/m (No. 11)
One atom of each set of equivalent atoms:
Ba 0.2481 0.2500 0.4419 [2 per cell]  4 S 3.02-3.34
Pu 0.2725 0.2500 0.9448 [2 per cell]  6 S 2.68-2.82
Zn 0.2656 0.7500 0.1739 [2 per cell]  4 S 2.28-2.33
S 0.0382 0.7500 0.9107 [2 per cell]  1 Zn 2.28
S 0.0696 0.7500 0.3534 [2 per cell]  1 Zn 2.29
S 0.4788 0.5137 0.7865 [4 per cell]  1 Zn 2.33